No. 1
TlZn2Se at its PBEsol-relaxed geometry. Source: Alexandria via LeMat-Bulk, functional meta-GGA SCAN.

Symmetry   No. 225
Total DFT energy (no corrections)   -29.612 eV/atom

Cell lengths 4.887, 4.887, 4.887 Å; angles 60.00, 60.00, 60.00 degrees
Positions (direct):
Tl1 0.500 0.500 0.500
Zn1 0.750 0.750 0.750
Zn2 0.250 0.250 0.250
Se1 0.000 0.000 0.000

***

No. 2
TlZnSe2 at its PBEsol-relaxed geometry. Source: Alexandria via LeMat-Bulk, functional meta-GGA SCAN.

Symmetry   No. 12
Total DFT energy (no corrections)   -31.291 eV/atom

Cell lengths 2.917, 5.518, 6.241 Å; angles 63.76, 85.64, 80.09 degrees
Positions (direct):
Se1 0.000 0.000 0.500
Se2 0.000 0.500 0.500
Tl1 0.500 0.500 0.000
Zn1 0.500 0.000 0.000